Record 1
Here is a relaxed structure of PmPuTe2 from Alexandria via LeMat-Bulk. Energies are from GGA-PBE.

**E_form (uncorrected)**: -1.132 eV/atom
**Space-group type**: P4/mmm, No. 123
**Distance to the lowest polymorph of the same formula**: 137 meV per atom

Cell: 3.8272 3.8272 7.6956 Å, 90.00 90.00 90.00°
Sites, in units of the cell vectors:
Pm (0.5000, 0.5000, 0.5000)
Te (0.0000, 0.0000, 0.7506)
Te (0.0000, 0.0000, 0.2494)
Pu (0.5000, 0.5000, 0.0000)

---

Record 2
Here is a relaxed structure of PmPu3Te4 from Alexandria via LeMat-Bulk. Energies are from GGA-PBE.

**E_form (uncorrected)**: -1.161 eV/atom
**Space-group type**: Cmmm, No. 65

Cell: 4.4439 7.7021 7.7021 Å, 109.68 90.00 90.00°
Sites, in units of the cell vectors:
Pm (0.5000, 0.0000, 0.0000)
Pu (0.0000, 0.0000, 0.5000)
Pu (0.5000, 0.5000, 0.5000)
Pu (0.0000, 0.5000, 0.0000)
Te (0.0000, 0.2525, 0.2525)
Te (0.5000, 0.7496, 0.2504)
Te (0.0000, 0.7475, 0.7475)
Te (0.5000, 0.2504, 0.7496)

---

Record 3
Here is a relaxed structure of Pm4PuTe5 from Alexandria via LeMat-Bulk. Energies are from GGA-PBE.

**E_form (uncorrected)**: -1.353 eV/atom
**Space-group type**: I4/mmm, No. 139

Cell: 4.4602 4.4602 16.0800 Å, 97.97 97.97 90.00°
Sites, in units of the cell vectors:
Pm (0.3993, 0.3993, 0.7985)
Pm (0.8017, 0.8017, 0.6034)
Pm (0.1983, 0.1983, 0.3966)
Pm (0.6007, 0.6007, 0.2015)
Pu (0.0000, 0.0000, 0.0000)
Te (0.0988, 0.0988, 0.1976)
Te (0.5000, 0.5000, 0.0000)
Te (0.9012, 0.9012, 0.8024)
Te (0.2991, 0.2991, 0.5982)
Te (0.7009, 0.7009, 0.4018)

---

Record 4
Here is a relaxed structure of Pm5Pu3Te8 from Alexandria via LeMat-Bulk. Energies are from GGA-PBE.

**E_form (uncorrected)**: -1.309 eV/atom
**Space-group type**: R-3m, No. 166

Cell: 8.8757 8.8757 8.9317 Å, 60.21 60.21 60.00°
Sites, in units of the cell vectors:
Pm (0.5000, 0.0000, 0.0000)
Pm (0.5000, 0.5000, 0.0000)
Pm (0.0000, 0.0000, 0.0000)
Pm (0.0000, 0.5000, 0.0000)
Pm (0.5000, 0.5000, 0.5000)
Pu (0.5000, 0.0000, 0.5000)
Pu (0.0000, 0.0000, 0.5000)
Pu (0.0000, 0.5000, 0.5000)
Te (0.2500, 0.2500, 0.7475)
Te (0.2500, 0.7525, 0.7475)
Te (0.7525, 0.2500, 0.7475)
Te (0.7513, 0.7513, 0.7461)
Te (0.7500, 0.7500, 0.2525)
Te (0.7500, 0.2475, 0.2525)
Te (0.2475, 0.7500, 0.2525)
Te (0.2487, 0.2487, 0.2539)

---

Record 5
Here is a relaxed structure of PmPuTe2 from Alexandria via LeMat-Bulk. Energies are from GGA-PBE.

**E_form (uncorrected)**: -1.121 eV/atom
**Space-group type**: Fm-3m, No. 225
**Distance to the lowest polymorph of the same formula**: 149 meV per atom

Cell: 5.4360 5.4360 5.4360 Å, 60.00 60.00 60.00°
Sites, in units of the cell vectors:
Pm (0.0000, 0.0000, 0.0000)
Te (0.2500, 0.2500, 0.2500)
Te (0.7500, 0.7500, 0.7500)
Pu (0.5000, 0.5000, 0.5000)

---

Record 6
Here is a relaxed structure of Pm2Pu2Te7 from Alexandria via LeMat-Bulk. Energies are from GGA-PBE.

**E_form (uncorrected)**: -0.876 eV/atom
**Space-group type**: Cmmm, No. 65

Cell: 7.8465 6.8104 7.8465 Å, 89.99 92.25 90.01°
Sites, in units of the cell vectors:
Pm (0.7321, 0.5000, 0.7321)
Pm (0.2679, 0.5000, 0.2679)
Pu (0.7352, 0.0000, 0.2648)
Pu (0.2648, 0.0000, 0.7352)
Te (0.0000, 0.2549, 0.5000)
Te (0.5000, 0.7451, 0.0000)
Te (0.0000, 0.7451, 0.5000)
Te (0.5000, 0.2549, 0.0000)
Te (0.0000, 0.0000, 0.0000)
Te (0.4999, 0.7543, 0.5001)
Te (0.5001, 0.2457, 0.4999)

---

Record 7
Here is a relaxed structure of Pm3Pu4Te8 from Alexandria via LeMat-Bulk. Energies are from GGA-PBE.

**E_form (uncorrected)**: -1.236 eV/atom
**Space-group type**: P-1, No. 2

Cell: 8.8774 8.9116 8.8714 Å, 89.99 120.04 120.05°
Sites, in units of the cell vectors:
Pm (0.5000, 0.5000, 0.0000)
Pm (0.5000, 0.0000, 0.5000)
Pm (0.5000, 0.5000, 0.5000)
Pu (0.5000, 0.0000, 0.0000)
Pu (0.0000, 0.5000, 0.0000)
Pu (0.0000, 0.0000, 0.0000)
Pu (0.0000, 0.0000, 0.5000)
Te (0.9983, 0.2507, 0.2526)
Te (0.0001, 0.7468, 0.2538)
Te (0.5080, 0.2531, 0.2532)
Te (0.4999, 0.2489, 0.7510)
Te (0.5001, 0.7511, 0.2490)
Te (0.4920, 0.7469, 0.7468)
Te (0.9999, 0.2532, 0.7462)
Te (0.0017, 0.7493, 0.7474)

---

Record 8
Here is a relaxed structure of Pm3Pu2Te6 from Alexandria via LeMat-Bulk. Energies are from GGA-PBE.

**E_form (uncorrected)**: -1.324 eV/atom
**Space-group type**: C2/m, No. 12

Cell: 7.6880 7.6894 7.6966 Å, 80.38 70.47 60.01°
Sites, in units of the cell vectors:
Pm (0.0000, 0.0000, 0.0000)
Pm (0.3321, 0.3358, 0.0000)
Pm (0.6679, 0.6642, 0.0000)
Pu (0.1661, 0.6677, 0.5000)
Pu (0.8339, 0.3323, 0.5000)
Te (0.4191, 0.6719, 0.7433)
Te (0.7469, 0.0000, 0.7447)
Te (0.0910, 0.3281, 0.7433)
Te (0.2531, 0.0000, 0.2553)
Te (0.5809, 0.3281, 0.2567)
Te (0.9090, 0.6719, 0.2567)

---

Record 9
Here is a relaxed structure of PmPuTe from Alexandria via LeMat-Bulk. Energies are from GGA-PBE.

**E_form (uncorrected)**: -0.563 eV/atom
**Space-group type**: I4mm, No. 107

Cell: 4.0439 4.0439 6.0386 Å, 109.56 109.56 90.00°
Sites, in units of the cell vectors:
Pm (0.3223, 0.3223, 0.6447)
Te (0.6677, 0.6677, 0.3353)
Pu (0.0100, 0.0100, 0.0200)

---

Record 10
Here is a relaxed structure of PmPuTe2 from Alexandria via LeMat-Bulk. Energies are from GGA-PBE.

**E_form (uncorrected)**: -1.239 eV/atom
**Space-group type**: P6_3/mmc, No. 194
**Distance to the lowest polymorph of the same formula**: 31 meV per atom

Cell: 4.3684 4.3684 15.0731 Å, 90.00 90.00 120.00°
Sites, in units of the cell vectors:
Pm (0.6667, 0.3333, 0.2500)
Pm (0.3333, 0.6667, 0.7500)
Pu (0.0000, 0.0000, 0.5000)
Pu (0.0000, 0.0000, 0.0000)
Te (0.3333, 0.6667, 0.3785)
Te (0.6667, 0.3333, 0.8785)
Te (0.6667, 0.3333, 0.6215)
Te (0.3333, 0.6667, 0.1215)

---

Record 11
Here is a relaxed structure of PmPu2Te3 from Alexandria via LeMat-Bulk. Energies are from GGA-PBE.

**E_form (uncorrected)**: -1.208 eV/atom
**Space-group type**: Immm, No. 71
**Distance to the lowest polymorph of the same formula**: 0 meV per atom

Cell: 4.4470 6.2862 7.6932 Å, 114.11 106.80 90.00°
Sites, in units of the cell vectors:
Pm (0.5000, 0.5000, 0.5000)
Pu (0.8345, 0.8345, 0.1689)
Pu (0.1655, 0.1655, 0.8311)
Te (0.8307, 0.3307, 0.1614)
Te (0.1693, 0.6693, 0.8386)
Te (0.5000, 0.0000, 0.5000)

---

Record 12
Here is a relaxed structure of Pm2PuTe3 from Alexandria via LeMat-Bulk. Energies are from GGA-PBE.

**E_form (uncorrected)**: -1.324 eV/atom
**Space-group type**: Immm, No. 71

Cell: 4.4423 6.2928 7.7292 Å, 114.02 106.70 90.00°
Sites, in units of the cell vectors:
Pm (0.8307, 0.8307, 0.1614)
Pm (0.1693, 0.1693, 0.8386)
Pu (0.5000, 0.5000, 0.5000)
Te (0.8365, 0.3365, 0.1731)
Te (0.1635, 0.6635, 0.8269)
Te (0.5000, 0.0000, 0.5000)

---

Record 13
Here is a relaxed structure of Pm6PuTe8 from Alexandria via LeMat-Bulk. Energies are from GGA-PBE.

**E_form (uncorrected)**: -1.070 eV/atom
**Space-group type**: R-3, No. 148
**Distance to the lowest polymorph of the same formula**: 325 meV per atom

Cell: 8.4730 8.4730 8.4730 Å, 92.68 92.68 92.68°
Sites, in units of the cell vectors:
Pm (0.5965, 0.4417, 0.8088)
Pm (0.4417, 0.8088, 0.5965)
Pm (0.8088, 0.5965, 0.4417)
Pm (0.4035, 0.5583, 0.1912)
Pm (0.5583, 0.1912, 0.4035)
Pm (0.1912, 0.4035, 0.5583)
Pu (0.0000, 0.0000, 0.0000)
Te (0.7708, 0.7708, 0.7708)
Te (0.2292, 0.2292, 0.2292)
Te (0.6326, 0.8601, 0.2723)
Te (0.8601, 0.2723, 0.6326)
Te (0.2723, 0.6326, 0.8601)
Te (0.3674, 0.1399, 0.7277)
Te (0.1399, 0.7277, 0.3674)
Te (0.7277, 0.3674, 0.1399)

---

Record 14
Here is a relaxed structure of PmPuTe2 from Alexandria via LeMat-Bulk. Energies are from GGA-PBE.

**E_form (uncorrected)**: -1.269 eV/atom
**Distance to the lowest polymorph of the same formula**: 1 meV per atom

Cell: 6.2815 6.2865 12.6009 Å, 90.00 90.00 90.00°
Sites, in units of the cell vectors:
Pm (0.2498, 0.4998, 0.6249)
Pm (0.7502, 0.5002, 0.3751)
Pm (0.2498, 0.0002, 0.8751)
Pm (0.7502, 0.9998, 0.1249)
Pu (0.2502, 0.9999, 0.3754)
Pu (0.7498, 0.0001, 0.6246)
Pu (0.2502, 0.5001, 0.1245)
Pu (0.7498, 0.4999, 0.8755)
Te (0.7498, 0.9999, 0.8733)
Te (0.2502, 0.0001, 0.1267)
Te (0.7498, 0.5001, 0.6267)
Te (0.2502, 0.4999, 0.3733)
Te (0.7502, 0.4999, 0.1228)
Te (0.2498, 0.5001, 0.8772)
Te (0.7502, 0.0001, 0.3772)
Te (0.2498, 0.9999, 0.6228)

---

Record 15
Here is a relaxed structure of PmPu2Te4 from Alexandria via LeMat-Bulk. Energies are from GGA-PBE.

**E_form (uncorrected)**: -1.137 eV/atom
**Space-group type**: C2/m, No. 12
**Distance to the lowest polymorph of the same formula**: 20 meV per atom

Cell: 4.4650 8.5831 7.7979 Å, 64.04 89.99 74.91°
Sites, in units of the cell vectors:
Pm (0.0000, 0.0000, 0.0000)
Pu (0.7368, 0.5261, 0.7273)
Pu (0.2632, 0.4739, 0.2727)
Te (0.8769, 0.2467, 0.5544)
Te (0.1231, 0.7533, 0.4456)
Te (0.6334, 0.7335, 0.9828)
Te (0.3666, 0.2665, 0.0172)

---

Record 16
Here is a relaxed structure of Pm6PuTe8 from Alexandria via LeMat-Bulk. Energies are from GGA-PBE.

**E_form (uncorrected)**: -1.396 eV/atom
**Space-group type**: Fm-3m, No. 225
**Distance to the lowest polymorph of the same formula**: 0 meV per atom

Cell: 8.9059 8.9059 8.9059 Å, 60.00 60.00 60.00°
Sites, in units of the cell vectors:
Pm (0.0000, 0.5000, 0.5000)
Pm (0.5000, 0.0000, 0.0000)
Pm (0.5000, 0.5000, 0.0000)
Pm (0.0000, 0.0000, 0.5000)
Pm (0.0000, 0.5000, 0.0000)
Pm (0.5000, 0.0000, 0.5000)
Pu (0.0000, 0.0000, 0.0000)
Te (0.7500, 0.7500, 0.7500)
Te (0.2500, 0.2500, 0.2500)
Te (0.7459, 0.2541, 0.2541)
Te (0.2541, 0.7459, 0.7459)
Te (0.2541, 0.2541, 0.7459)
Te (0.7459, 0.7459, 0.2541)
Te (0.7459, 0.2541, 0.7459)
Te (0.2541, 0.7459, 0.2541)

---

Record 17
Here is a relaxed structure of PmPu4Te5 from Alexandria via LeMat-Bulk. Energies are from GGA-PBE.

**E_form (uncorrected)**: -1.160 eV/atom
**Space-group type**: Immm, No. 71

Cell: 4.4402 6.2837 11.7568 Å, 105.50 100.88 90.00°
Sites, in units of the cell vectors:
Pm (0.0000, 0.0000, 0.0000)
Pu (0.4008, 0.4008, 0.8016)
Pu (0.7994, 0.7994, 0.5988)
Pu (0.2006, 0.2006, 0.4012)
Pu (0.5992, 0.5992, 0.1984)
Te (0.6015, 0.1015, 0.2031)
Te (0.8007, 0.3007, 0.6014)
Te (0.1993, 0.6993, 0.3986)
Te (0.0000, 0.5000, 0.0000)
Te (0.3985, 0.8985, 0.7969)

---

Record 18
Here is a relaxed structure of PmPu4Te6 from Alexandria via LeMat-Bulk. Energies are from GGA-PBE.

**E_form (uncorrected)**: -1.136 eV/atom
**Space-group type**: Cmcm, No. 63

Cell: 4.3642 7.6321 22.6401 Å, 90.00 90.00 106.61°
Sites, in units of the cell vectors:
Pm (0.6550, 0.3100, 0.2500)
Pm (0.3450, 0.6900, 0.7500)
Pu (0.8595, 0.7189, 0.5399)
Pu (0.4119, 0.8238, 0.1286)
Pu (0.1405, 0.2811, 0.4602)
Pu (0.5881, 0.1762, 0.8714)
Pu (0.8595, 0.7189, 0.9602)
Pu (0.1405, 0.2811, 0.0398)
Pu (0.5881, 0.1762, 0.6286)
Pu (0.4119, 0.8238, 0.3714)
Te (0.5000, 0.0000, 0.0000)
Te (0.5000, 0.0000, 0.5000)
Te (0.0532, 0.1064, 0.3332)
Te (0.9468, 0.8936, 0.6668)
Te (0.9468, 0.8936, 0.8332)
Te (0.0532, 0.1064, 0.1668)
Te (0.7726, 0.5452, 0.4116)
Te (0.2274, 0.4548, 0.5884)
Te (0.2274, 0.4548, 0.9116)
Te (0.7726, 0.5452, 0.0884)
Te (0.3111, 0.6223, 0.2500)
Te (0.6889, 0.3777, 0.7500)

---

Record 19
Here is a relaxed structure of PmPuTe3 from Alexandria via LeMat-Bulk. Energies are from GGA-PBE.

**E_form (uncorrected)**: -1.142 eV/atom
**Space-group type**: Pmmn, No. 59
**Distance to the lowest polymorph of the same formula**: 20 meV per atom

Cell: 4.3743 7.6949 9.8295 Å, 90.00 90.00 90.00°
Sites, in units of the cell vectors:
Pm (0.7500, 0.7500, 0.4000)
Pm (0.2500, 0.2500, 0.6000)
Pu (0.7500, 0.2500, 0.1554)
Pu (0.2500, 0.7500, 0.8446)
Te (0.7500, 0.7500, 0.0650)
Te (0.2500, 0.2500, 0.9350)
Te (0.7500, 0.9754, 0.6754)
Te (0.7500, 0.5246, 0.6754)
Te (0.2500, 0.0246, 0.3246)
Te (0.2500, 0.4754, 0.3246)

---

Record 20
Here is a relaxed structure of PmPuTe3 from Alexandria via LeMat-Bulk. Energies are from GGA-PBE.

**E_form (uncorrected)**: -1.162 eV/atom
**Space-group type**: Pnma, No. 62
**Distance to the lowest polymorph of the same formula**: 0 meV per atom

Cell: 4.4048 10.0973 15.4099 Å, 90.00 90.00 90.00°
Sites, in units of the cell vectors:
Pm (0.7500, 0.5500, 0.7486)
Pm (0.7500, 0.9500, 0.2486)
Pm (0.2500, 0.4500, 0.2514)
Pm (0.2500, 0.0500, 0.7514)
Pu (0.2500, 0.2053, 0.4930)
Pu (0.2500, 0.2947, 0.9930)
Pu (0.7500, 0.7947, 0.5070)
Pu (0.7500, 0.7053, 0.0070)
Te (0.2500, 0.3647, 0.6617)
Te (0.2500, 0.1353, 0.1617)
Te (0.7500, 0.6353, 0.3383)
Te (0.7500, 0.8647, 0.8383)
Te (0.2500, 0.7329, 0.6459)
Te (0.2500, 0.7671, 0.1459)
Te (0.7500, 0.2671, 0.3541)
Te (0.7500, 0.2329, 0.8541)
Te (0.7500, 0.0654, 0.6013)
Te (0.7500, 0.4346, 0.1013)
Te (0.2500, 0.9346, 0.3987)
Te (0.2500, 0.5654, 0.8987)

---

Record 21
Here is a relaxed structure of PmPu2Th3Te6 from Alexandria via LeMat-Bulk. Energies are from GGA-PBE.

**E_form (uncorrected)**: -1.111 eV/atom
**Space-group type**: C2/m, No. 12

Cell: 4.3756 9.0475 10.0634 Å, 105.91 102.56 90.00°
Sites, in units of the cell vectors:
Pm (0.5000, 0.0000, 0.0000)
Pu (0.8331, 0.6691, 0.6662)
Pu (0.1669, 0.3309, 0.3338)
Th (0.5000, 0.5000, 0.0000)
Th (0.8356, 0.1715, 0.6711)
Th (0.1644, 0.8285, 0.3289)
Te (0.3334, 0.9139, 0.6667)
Te (0.6685, 0.5755, 0.3370)
Te (0.6666, 0.0861, 0.3333)
Te (0.0030, 0.2485, 0.0060)
Te (0.9970, 0.7515, 0.9940)
Te (0.3315, 0.4245, 0.6630)